# CaAsP

CaAsP at its PBEsol-relaxed geometry (SCAN, Alexandria).

Output
Mass density   3.88 g/cm3
Magnetic moment   0.00 μB per atom
Calculated formation energy   -0.486 eV per atom
Final energy   -13.90 eV per atom

Lattice parameters (Å, degrees): 3.5861 3.5861 9.7186 90.00 90.00 90.00
Space group I4mm (No. 107)
Unique sites:
Ca 0.0000 0.0000 0.0000 [2 per cell]
As 0.0000 0.0000 0.2879 [2 per cell]
P 0.0000 0.0000 0.7120 [2 per cell]


# Fe2HgMo

Fe2HgMo at its PBEsol-relaxed geometry (SCAN, Alexandria).

Output
Mass density   12.66 g/cm3
Magnetic moment   1.38 μB per atom
Calculated formation energy   0.536 eV per atom
Final energy   -34.29 eV per atom

Lattice parameters (Å, degrees): 4.0005 4.0005 3.3462 90.00 90.00 90.00
Space group P4/mmm (No. 123)
Unique sites:
Fe 0.0000 0.5000 0.0000 [2 per cell]
Hg 0.0000 0.0000 0.5000 [1 per cell]
Mo 0.5000 0.5000 0.5000 [1 per cell]


# SrCuN2

SrCuN2 at its PBEsol-relaxed geometry (SCAN, Alexandria).

Output
Mass density   5.13 g/cm3
Magnetic moment   0.19 μB per atom
Final energy   -12.86 eV per atom

Lattice parameters (Å, degrees): 3.2683 3.2683 18.7945 90.00 90.00 120.00
Space group R-3m (No. 166, hexagonal axes)
Unique sites:
Sr 0.0000 0.0000 0.0000 [3 per cell]
Cu 0.0000 0.0000 0.5000 [3 per cell]
N 0.0000 0.0000 0.1266 [6 per cell]


# K4MoBr

K4MoBr at its PBEsol-relaxed geometry (SCAN, Alexandria).

Output
Mass density   2.01 g/cm3
Magnetic moment   0.89 μB per atom
Final energy   -14.04 eV per atom

Lattice parameters (Å, degrees): 10.3214 10.3214 10.3214 90.00 90.00 90.00
Space group F-43m (No. 216)
Unique sites:
K 0.1251 0.1251 0.1251 [16 per cell]
Mo 0.2500 0.2500 0.7500 [4 per cell]
Br 0.0000 0.0000 0.5000 [4 per cell]


# PtCSe2

PtCSe2 at its PBEsol-relaxed geometry (SCAN, Alexandria).

Output
Mass density   7.46 g/cm3
Magnetic moment   0.00 μB per atom
Final energy   -29.29 eV per atom

Lattice parameters (Å, degrees): 3.9803 3.9803 17.7659 90.00 90.00 120.00
Space group R-3m (No. 166, hexagonal axes)
Unique sites:
Pt 0.0000 0.0000 0.0000 [3 per cell]
C 0.0000 0.0000 0.5000 [3 per cell]
Se 0.0000 0.0000 0.4019 [6 per cell]


# Li2Hg2Pb

Li2Hg2Pb at its PBEsol-relaxed geometry (SCAN, Alexandria).

Output
Mass density   10.02 g/cm3
Magnetic moment   0.00 μB per atom
Calculated formation energy   -0.349 eV per atom
Final energy   -43.73 eV per atom

Lattice parameters (Å, degrees): 8.1068 8.1068 3.1376 90.00 90.00 90.00
Space group P4/mbm (No. 127)
Unique sites:
Li 0.1650 0.3350 0.0000 [4 per cell]
Hg 0.1305 0.6305 0.5000 [4 per cell]
Pb 0.0000 0.0000 0.5000 [2 per cell]


# SrReSeBr2

SrReSeBr2 at its PBEsol-relaxed geometry (SCAN, Alexandria).

Output
Mass density   6.67 g/cm3
Magnetic moment   0.14 μB per atom
Final energy   -30.87 eV per atom

Lattice parameters (Å, degrees): 5.1908 5.1908 4.7394 90.00 90.00 90.00
Space group P4/mmm (No. 123)
Unique sites:
Sr 0.0000 0.0000 0.0000 [1 per cell]
Re 0.5000 0.5000 0.5000 [1 per cell]
Se 0.5000 0.5000 0.0000 [1 per cell]
Br 0.0000 0.5000 0.5000 [2 per cell]


# La2ScIr

La2ScIr at its PBEsol-relaxed geometry (SCAN, Alexandria).

Output
Mass density   8.35 g/cm3
Magnetic moment   0.00 μB per atom
Calculated formation energy   -0.462 eV per atom
Final energy   -43.35 eV per atom
Energy above the most stable polymorph in this dataset   0.0236 eV/atom

Lattice parameters (Å, degrees): 3.3994 3.3994 8.8594 90.00 90.00 90.00
Space group P4mm (No. 99)
Unique sites:
La 0.0000 0.0000 0.0000 [1 per cell]
La 0.5000 0.5000 0.3449 [1 per cell]
Sc 0.0000 0.0000 0.6365 [1 per cell]
Ir 0.5000 0.5000 0.7881 [1 per cell]


# SrMn2BiO6

SrMn2BiO6 at its PBEsol-relaxed geometry (SCAN, Alexandria).

Output
Mass density   7.32 g/cm3
Magnetic moment   0.70 μB per atom
Final energy   -19.66 eV per atom
Energy above the most stable polymorph in this dataset   0.0000 eV/atom

Lattice parameters (Å, degrees): 7.6987 7.6429 5.4504 90.00 134.68 90.00
Space group Cm (No. 8)
Unique sites:
Sr 0.0000 0.0000 0.0000 [2 per cell]
Mn 0.0058 0.2533 0.5027 [4 per cell]
Bi 0.4433 0.0000 0.9557 [2 per cell]
O 0.0162 0.0000 0.5374 [2 per cell]
O 0.0380 0.5000 0.4926 [2 per cell]
O 0.2726 0.2179 0.5245 [4 per cell]
O 0.2735 0.2431 0.0095 [4 per cell]


# CdRuCl2

CdRuCl2 at its PBEsol-relaxed geometry (SCAN, Alexandria).

Output
Mass density   7.07 g/cm3
Magnetic moment   0.00 μB per atom
Final energy   -19.77 eV per atom
Energy above the most stable polymorph in this dataset   0.7458 eV/atom

Lattice parameters (Å, degrees): 4.5595 4.5595 3.2129 90.00 90.00 90.00
Space group P4/mmm (No. 123)
Unique sites:
Cd 0.0000 0.0000 0.0000 [1 per cell]
Ru 0.5000 0.5000 0.0000 [1 per cell]
Cl 0.0000 0.5000 0.5000 [2 per cell]


# Y2TlCo

Y2TlCo at its PBEsol-relaxed geometry (SCAN, Alexandria).

Output
Mass density   7.65 g/cm3
Magnetic moment   0.00 μB per atom
Calculated formation energy   -0.154 eV per atom
Final energy   -36.49 eV per atom

Lattice parameters (Å, degrees): 3.6769 3.6769 24.5327 90.00 90.00 120.00
Space group R-3m (No. 166, hexagonal axes)
Unique sites:
Y 0.0000 0.0000 0.2309 [6 per cell]
Tl 0.0000 0.0000 0.0000 [3 per cell]
Co 0.0000 0.0000 0.5000 [3 per cell]


# Sr2CaTi

Sr2CaTi at its PBEsol-relaxed geometry (SCAN, Alexandria).

Output
Mass density   2.94 g/cm3
Magnetic moment   0.99 μB per atom
Calculated formation energy   0.562 eV per atom
Final energy   -17.00 eV per atom

Lattice parameters (Å, degrees): 8.4127 8.4127 8.4127 90.00 90.00 90.00
Space group Fm-3m (No. 225)
Unique sites:
Sr 0.2500 0.2500 0.2500 [8 per cell]
Ca 0.0000 0.0000 0.0000 [4 per cell]
Ti 0.0000 0.0000 0.5000 [4 per cell]


# SrCoPb2

SrCoPb2 at its PBEsol-relaxed geometry (SCAN, Alexandria).

Output
Mass density   8.77 g/cm3
Magnetic moment   0.28 μB per atom
Calculated formation energy   -0.005 eV per atom
Final energy   -47.79 eV per atom

Lattice parameters (Å, degrees): 5.6922 9.5966 3.8904 90.00 90.00 90.00
Space group Cmmm (No. 65)
Unique sites:
Sr 0.0000 0.0000 0.0000 [2 per cell]
Co 0.0000 0.5000 0.0000 [2 per cell]
Pb 0.0000 0.3245 0.5000 [4 per cell]


# NdNb3O9

NdNb3O9 at its PBEsol-relaxed geometry (SCAN, Alexandria).

Output
Mass density   5.61 g/cm3
Magnetic moment   0.00 μB per atom
Final energy   -18.32 eV per atom

Lattice parameters (Å, degrees): 5.3589 7.6065 16.4921 90.00 92.12 90.00
Space group P2_1/c (No. 14)
Unique sites:
Nd 0.0337 0.2500 0.4676 [4 per cell]
Nb 0.0086 0.0262 0.2487 [4 per cell]
Nb 0.4719 0.0136 0.5997 [4 per cell]
Nb 0.4770 0.0028 0.0998 [4 per cell]
O 0.1015 0.2440 0.7397 [4 per cell]
O 0.1457 0.5581 0.6425 [4 per cell]
O 0.1491 0.5640 0.1426 [4 per cell]
O 0.2621 0.5380 0.9828 [4 per cell]
O 0.2617 0.5391 0.4826 [4 per cell]
O 0.3207 0.5529 0.8099 [4 per cell]
O 0.3241 0.5558 0.3091 [4 per cell]
O 0.3441 0.2487 0.0793 [4 per cell]
O 0.4371 0.2499 0.4052 [4 per cell]


# KPRu2

KPRu2 at its PBEsol-relaxed geometry (SCAN, Alexandria).

Output
Mass density   5.33 g/cm3
Magnetic moment   0.00 μB per atom
Calculated formation energy   0.067 eV per atom
Final energy   -22.03 eV per atom

Lattice parameters (Å, degrees): 3.6073 3.6073 22.5716 90.00 90.00 120.00
Space group R-3m (No. 166, hexagonal axes)
Unique sites:
K 0.0000 0.0000 0.0000 [3 per cell]
P 0.0000 0.0000 0.5000 [3 per cell]
Ru 0.0000 0.0000 0.2060 [6 per cell]


# SnRhIN2

SnRhIN2 at its PBEsol-relaxed geometry (SCAN, Alexandria).

Output
Mass density   7.10 g/cm3
Magnetic moment   0.61 μB per atom
Final energy   -23.76 eV per atom

Lattice parameters (Å, degrees): 4.0616 4.0616 5.3365 90.00 90.00 90.00
Space group P4/mmm (No. 123)
Unique sites:
Sn 0.0000 0.0000 0.0000 [1 per cell]
Rh 0.5000 0.5000 0.5000 [1 per cell]
I 0.5000 0.5000 0.0000 [1 per cell]
N 0.0000 0.5000 0.5000 [2 per cell]


# Li4MnOF5

Li4MnOF5 at its PBEsol-relaxed geometry (SCAN, Alexandria).

Output
Mass density   3.07 g/cm3
Magnetic moment   0.36 μB per atom
Final energy   -7.60 eV per atom
Energy above the most stable polymorph in this dataset   0.0000 eV/atom

Lattice parameters (Å, degrees): 9.7087 3.7362 6.2014 90.00 111.43 90.00
Space group C2/m (No. 12)
Unique sites:
Li 0.1462 0.0000 0.3738 [4 per cell]
Li 0.1539 0.0000 0.8002 [4 per cell]
Mn 0.0000 0.5000 0.0000 [2 per cell]
O 0.0000 0.0000 0.0000 [2 per cell]
F 0.0000 0.0000 0.5000 [2 per cell]
F 0.1509 0.5000 0.8733 [4 per cell]
F 0.1886 0.5000 0.3273 [4 per cell]


# KNdPdO3

KNdPdO3 at its PBEsol-relaxed geometry (SCAN, Alexandria).

Output
Mass density   6.09 g/cm3
Magnetic moment   0.00 μB per atom
Final energy   -19.43 eV per atom

Lattice parameters (Å, degrees): 13.1597 3.9151 7.3974 90.00 105.01 90.00
Space group C2/m (No. 12)
Unique sites:
K 0.1432 0.0000 0.0649 [4 per cell]
Nd 0.1496 0.0000 0.5793 [4 per cell]
Pd 0.0065 0.5000 0.2742 [4 per cell]
O 0.0066 0.0000 0.3080 [4 per cell]
O 0.1522 0.5000 0.7808 [4 per cell]
O 0.1679 0.5000 0.3651 [4 per cell]


# NiAuI2O

NiAuI2O at its PBEsol-relaxed geometry (SCAN, Alexandria).

Output
Mass density   7.32 g/cm3
Magnetic moment   0.31 μB per atom
Final energy   -32.42 eV per atom

Lattice parameters (Å, degrees): 5.5483 5.5483 3.8702 90.00 90.00 90.00
Space group P4/mmm (No. 123)
Unique sites:
Ni 0.0000 0.0000 0.0000 [1 per cell]
Au 0.5000 0.5000 0.5000 [1 per cell]
I 0.0000 0.5000 0.5000 [2 per cell]
O 0.5000 0.5000 0.0000 [1 per cell]


# Na3HfCd

Na3HfCd at its PBEsol-relaxed geometry (SCAN, Alexandria).

Output
Mass density   2.69 g/cm3
Magnetic moment   0.92 μB per atom
Calculated formation energy   1.368 eV per atom
Final energy   -19.78 eV per atom
Energy above the most stable polymorph in this dataset   0.3285 eV/atom

Lattice parameters (Å, degrees): 6.0530 6.0530 6.0530 90.00 90.00 90.00
Space group Pm-3m (No. 221)
Unique sites:
Na 0.0000 0.0000 0.5000 [3 per cell]
Hf 0.0000 0.0000 0.0000 [1 per cell]
Cd 0.5000 0.5000 0.5000 [1 per cell]


# Si2Te3

Si2Te3 at its PBEsol-relaxed geometry (SCAN, Alexandria).

Output
Mass density   5.78 g/cm3
Magnetic moment   0.00 μB per atom
Final energy   -26.24 eV per atom

Lattice parameters (Å, degrees): 3.8714 3.8714 29.1592 90.00 90.00 120.00
Space group R-3m (No. 166, hexagonal axes)
Unique sites:
Si 0.0000 0.0000 0.1066 [6 per cell]
Te 0.0000 0.0000 0.2789 [6 per cell]
Te 0.0000 0.0000 0.5000 [3 per cell]


# Ca2Cu

Ca2Cu at its PBEsol-relaxed geometry (SCAN, Alexandria).

Output
Mass density   2.94 g/cm3
Magnetic moment   0.03 μB per atom
Calculated formation energy   0.027 eV per atom
Final energy   -11.48 eV per atom

Lattice parameters (Å, degrees): 13.7508 13.7508 13.7508 90.00 90.00 90.00
Space group Fd-3m (No. 227, origin choice 2)
Unique sites:
Ca 0.0000 0.0000 0.0000 [16 per cell]
Ca 0.0665 0.3750 0.8750 [48 per cell]
Cu 0.0289 0.0289 0.2211 [32 per cell]


# TlSiSb2

TlSiSb2 at its PBEsol-relaxed geometry (SCAN, Alexandria).

Output
Mass density   7.74 g/cm3
Magnetic moment   0.00 μB per atom
Final energy   -38.92 eV per atom
Energy above the most stable polymorph in this dataset   0.0000 eV/atom

Lattice parameters (Å, degrees): 4.0048 4.0048 22.0492 90.00 90.00 120.00
Space group R3m (No. 160, hexagonal axes)
Unique sites:
Tl 0.0000 0.0000 0.0000 [3 per cell]
Si 0.0000 0.0000 0.7465 [3 per cell]
Sb 0.0000 0.0000 0.2374 [3 per cell]
Sb 0.0000 0.0000 0.4792 [3 per cell]


# TeS2Br2

TeS2Br2 at its PBEsol-relaxed geometry (SCAN, Alexandria).

Output
Mass density   4.75 g/cm3
Magnetic moment   0.35 μB per atom
Final energy   -18.58 eV per atom

Lattice parameters (Å, degrees): 5.4707 5.4707 8.2117 90.00 90.00 90.00
Space group I4/mmm (No. 139)
Unique sites:
Te 0.0000 0.0000 0.0000 [2 per cell]
S 0.0000 0.0000 0.3854 [4 per cell]
Br 0.0000 0.5000 0.2500 [4 per cell]